# 1
The following is a PBE-GGA calculation of a relaxed structure of NdCdPd, from OQMD via LeMat-Bulk.

## Properties
- Energy of formation: -0.68 eV per atom
- V: 69.8 Å³/f.u.
- M_tot: 0.01 Bohr magnetons per cell

Cell: 7.729 7.729 4.048 Å, 90.00 90.00 120.00°
Atoms (fractional coordinates):
Nd 0.593 0.593 0.500
Pd 0.333 0.667 0.000
Cd 0.000 0.748 0.000
Cd 0.748 0.000 0.000
Cd 0.252 0.252 0.000
Nd 0.407 0.000 0.500
Pd 0.667 0.333 0.000
Nd 0.000 0.407 0.500
Pd 0.000 0.000 0.500

# 2
The following is a PBE-GGA calculation of a relaxed structure of ZnPd3Se6, from OQMD via LeMat-Bulk.

## Properties
- V: 220.3 Å³/f.u.
- Total DFT energy (no corrections): -0.1472 Ha/atom

Cell: 7.610 7.610 3.931 Å, 90.00 90.00 104.61°
Atoms (fractional coordinates):
Se 0.151 0.849 0.500
Pd 0.500 0.000 0.500
Se 0.169 0.411 0.000
Se 0.831 0.589 0.000
Pd 0.500 0.500 0.000
Se 0.411 0.169 0.000
Zn 0.000 0.000 0.000
Se 0.849 0.151 0.500
Se 0.589 0.831 0.000
Pd 0.000 0.500 0.500

# 3
The following is a PBE-GGA calculation of a relaxed structure of ZrTlCuPt, from OQMD via LeMat-Bulk.

## Properties
- V: 72.9 Å³/f.u.
- Total DFT energy (no corrections): -0.1986 Ha/atom
- M_tot: 0.00 Bohr magnetons per cell

Cell: 4.689 4.689 4.689 Å, 60.00 60.00 60.00°
Atoms (fractional coordinates):
Cu 0.750 0.750 0.750
Tl 0.000 0.000 0.000
Zr 0.250 0.250 0.250
Pt 0.500 0.500 0.500

# 4
The following is a PBE-GGA calculation of a relaxed structure of PrZrNi2, from OQMD via LeMat-Bulk.

## Properties
- Energy of formation: -0.27 eV per atom
- V: 76.4 Å³/f.u.
- M_tot: 0.00 Bohr magnetons per cell

Cell: 4.370 5.429 5.429 Å, 36.36 90.00 90.00°
Atoms (fractional coordinates):
Zr 0.500 0.869 0.869
Ni 0.500 0.573 0.573
Ni 0.000 0.414 0.414
Pr 0.000 0.144 0.144

# 5
The following is a PBE-GGA calculation of a relaxed structure of Hf3CuC, from OQMD via LeMat-Bulk.

## Properties
- V: 87.1 Å³/f.u.
- Total DFT energy (no corrections): -0.3256 Ha/atom
- M_tot: 0.00 Bohr magnetons per cell

Cell: 4.433 4.433 4.433 Å, 90.00 90.00 90.00°
Atoms (fractional coordinates):
Cu 0.500 0.500 0.500
C 0.000 0.000 0.000
Hf 0.000 0.500 0.000
Hf 0.500 0.000 0.000
Hf 0.000 0.000 0.500

# 6
The following is a PBE-GGA calculation of a relaxed structure of TmAgSnTe2Se, from OQMD via LeMat-Bulk.

## Properties
- V: 163.0 Å³/f.u.
- Total DFT energy (no corrections): -0.1554 Ha/atom
- M_tot: 0.01 Bohr magnetons per cell

Cell: 7.580 7.580 10.468 Å, 90.00 90.00 147.18°
Atoms (fractional coordinates):
Tm 0.500 0.500 0.500
Sn 0.244 0.756 0.750
Te 0.149 0.851 0.051
Ag 0.022 0.978 0.250
Se 0.587 0.413 0.750
Te 0.149 0.851 0.449
Se 0.413 0.587 0.250
Te 0.851 0.149 0.551
Ag 0.978 0.022 0.750
Tm 0.500 0.500 0.000
Sn 0.756 0.244 0.250
Te 0.851 0.149 0.949

# 7
The following is a PBE-GGA calculation of a relaxed structure of SrPaPO, from OQMD via LeMat-Bulk.

## Properties
- V: 99.3 Å³/f.u.
- Total DFT energy (no corrections): -0.2452 Ha/atom
- M_tot: 2.98 Bohr magnetons per cell

Cell: 4.304 8.096 5.703 Å, 90.00 90.00 90.00°
Atoms (fractional coordinates):
O 0.000 0.799 0.433
Pa 0.500 0.310 0.937
P 0.500 0.649 0.938
O 0.000 0.201 0.933
Sr 0.000 0.117 0.446
Sr 0.000 0.883 0.946
Pa 0.500 0.690 0.437
P 0.500 0.351 0.438

# 8
The following is a PBE-GGA calculation of a relaxed structure of H2Pt, from OQMD via LeMat-Bulk.

## Properties
- V: 25.2 Å³/f.u.
- Total DFT energy (no corrections): -0.1193 Ha/atom
- M_tot: 0.00 Bohr magnetons per cell

Cell: 4.146 4.146 4.146 Å, 60.00 60.00 60.00°
Atoms (fractional coordinates):
Pt 0.250 0.250 0.250
Pt 0.000 0.000 0.000
H 0.625 0.125 0.625
H 0.125 0.625 0.625
H 0.625 0.625 0.625
H 0.625 0.625 0.125

# 9
The following is a PBE-GGA calculation of a relaxed structure of Sr2PrOsSe6, from OQMD via LeMat-Bulk.

## Properties
- V: 282.7 Å³/f.u.
- Total DFT energy (no corrections): -0.1868 Ha/atom
- M_tot: 2.55 Bohr magnetons per cell

Cell: 7.174 7.174 7.548 Å, 118.65 118.65 61.24°
Atoms (fractional coordinates):
Se 0.804 0.326 0.838
Se 0.274 0.274 0.660
Se 0.674 0.196 0.162
Os 0.500 0.500 0.000
Sr 0.758 0.758 0.776
Pr 0.000 0.000 0.500
Se 0.726 0.726 0.340
Se 0.196 0.674 0.162
Se 0.326 0.804 0.838
Sr 0.242 0.242 0.224

# 10
The following is a PBE-GGA calculation of a relaxed structure of LaPmHo, from OQMD via LeMat-Bulk.

## Properties
- Energy of formation: 0.67 eV per atom
- V: 120.0 Å³/f.u.
- M_tot: 0.00 Bohr magnetons per cell

Cell: 5.537 5.537 5.537 Å, 60.00 60.00 60.00°
Atoms (fractional coordinates):
Pm 0.750 0.750 0.750
Ho 0.000 0.000 0.000
La 0.250 0.250 0.250

# 11
The following is a PBE-GGA calculation of a relaxed structure of Tb2ErMg3AgAu2, from OQMD via LeMat-Bulk.

## Properties
- V: 206.5 Å³/f.u.
- Total DFT energy (no corrections): -0.1341 Ha/atom
- M_tot: 0.02 Bohr magnetons per cell

Cell: 3.989 7.727 7.727 Å, 119.86 90.00 90.00°
Atoms (fractional coordinates):
Au 0.500 0.664 0.334
Au 0.500 0.334 0.664
Tb 0.000 0.000 0.585
Er 0.000 0.415 0.415
Tb 0.000 0.585 0.000
Mg 0.500 0.250 0.001
Mg 0.500 0.001 0.250
Mg 0.500 0.750 0.750
Ag 0.000 0.001 0.001

# 12
The following is a PBE-GGA calculation of a relaxed structure of NdSmTa, from OQMD via LeMat-Bulk.

## Properties
- Energy of formation: 1.31 eV per atom
- V: 92.1 Å³/f.u.
- M_tot: 1.38 Bohr magnetons per cell

Cell: 5.069 5.069 5.069 Å, 60.00 60.00 60.00°
Atoms (fractional coordinates):
Sm 0.000 0.000 0.000
Nd 0.250 0.250 0.250
Ta 0.750 0.750 0.750